Entry 1:
Here is a relaxed structure of Cs2Tl6SnAu from Alexandria. Energies are from PBE.

Output
Total moment = 0.0 μB per cell
DOS(E_F) = 0.231 states/eV per atom
Formation energy = -1.197 kcal/mol of atoms

Geometry as CIF:
```
data_Cs2Tl6SnAu
_chemical_formula_sum 'Cs12 Tl36 Sn6 Au6'
_symmetry_space_group_name_H-M 'R -3 m'
_symmetry_Int_Tables_number 166
_symmetry_space_group_name_Hall '-R 3 2"'
_cell_length_a 8.4986
_cell_length_b 8.4986
_cell_length_c 39.1346
_cell_angle_alpha 90.00
_cell_angle_beta 90.00
_cell_angle_gamma 120.00
loop_
_atom_site_label
_atom_site_type_symbol
_atom_site_fract_x
_atom_site_fract_y
_atom_site_fract_z
_atom_site_occupancy
Cs1 Cs 0.0000 0.0000 0.1490 1
Cs2 Cs 0.0000 0.0000 0.2916 1
Tl1 Tl 0.0427 0.5213 0.1144 1
Tl2 Tl 0.0752 0.5376 0.7254 1
Sn1 Sn 0.0000 0.0000 0.3861 1
Au1 Au 0.0000 0.0000 0.0000 1
Au2 Au 0.0000 0.0000 0.5000 1
```

Entry 2:
Here is a relaxed structure of CsTlSnAu from Alexandria. Energies are from PBE.

Output
Total moment = 0.0 μB per cell
DOS(E_F) = 0.527 states/eV per atom
Formation energy = -5.306 kcal/mol of atoms

Geometry as CIF:
```
data_CsTlSnAu
_chemical_formula_sum 'Cs3 Tl3 Sn3 Au3'
_symmetry_space_group_name_H-M 'R 3 m'
_symmetry_Int_Tables_number 160
_symmetry_space_group_name_Hall 'R 3 -2"'
_cell_length_a 4.7261
_cell_length_b 4.7261
_cell_length_c 22.6967
_cell_angle_alpha 90.00
_cell_angle_beta 90.00
_cell_angle_gamma 120.00
loop_
_atom_site_label
_atom_site_type_symbol
_atom_site_fract_x
_atom_site_fract_y
_atom_site_fract_z
_atom_site_occupancy
Cs1 Cs 0.0000 0.0000 0.0000 1
Tl1 Tl 0.0000 0.0000 0.7870 1
Sn1 Sn 0.0000 0.0000 0.5440 1
Au1 Au 0.0000 0.0000 0.1840 1
```